Below is Dy8YIn2 after structural relaxation, with properties calculated at the PBE level.

a b c (Å): 8.8388 15.1960 5.6534
angles (deg): 90.00 116.31 90.00
Space group C2/m (No. 12)
Symmetry-distinct sites (fractional):
Dy (0.0000, 0.2159, 0.0000) (multiplicity 4)
Dy (0.0924, 0.5000, 0.7959) (multiplicity 4)
Dy (0.2099, 0.1152, 0.6268) (multiplicity 8)
Y (0.0000, 0.0000, 0.0000) (multiplicity 2)
In (0.0000, 0.3069, 0.5000) (multiplicity 4)

The electronic total energy is -4.469 eV per atom. For the calculated volume, the calculation gives 680.6 Å³/cell. As for the formation energy: -0.04 eV per atom. The calculation puts the density of states at the Fermi level at 1.41 states/eV per atom.

---

Below is Dy4Y7In after structural relaxation, with properties calculated at the PBE level.

a b c (Å): 12.1091 5.8320 12.2063
angles (deg): 90.00 112.07 90.00
Space group C2/m (No. 12)
Symmetry-distinct sites (fractional):
Dy (0.1198, 0.0000, 0.2685) (multiplicity 4)
Dy (0.1336, 0.5000, 0.1156) (multiplicity 4)
Y (0.0000, 0.0000, 0.5000) (multiplicity 2)
Y (0.1045, 0.5000, 0.7751) (multiplicity 4)
Y (0.1333, 0.0000, 0.9722) (multiplicity 4)
Y (0.2027, 0.5000, 0.4156) (multiplicity 4)
In (0.0000, 0.5000, 0.5000) (multiplicity 2)

The electronic total energy is -5.355 eV per atom. The energy above the most stable polymorph in this dataset is 0 meV per atom. For the calculated volume, the calculation gives 798.9 Å³/cell. As for the formation energy: 0.18 eV per atom. The calculation puts the density of states at the Fermi level at 1.76 states/eV per atom.

---

Look up the electronic total energy of the second one. -5.355 eV per atom